Entry 1:
DFT (PBE) results for RbAg4Br5 after structural relaxation.

Unit cell a=8.122 b=12.267 c=6.996 alpha=90.00 beta=90.00 gamma=90.00
Space group Pmmn (No. 59, origin choice 2)
Unique sites:
Rb 0.250 0.250 0.039 (multiplicity 2)
Ag 0.071 0.750 0.415 (multiplicity 4)
Ag 0.250 0.559 0.969 (multiplicity 4)
Br 0.005 0.070 0.768 (multiplicity 8)
Br 0.250 0.750 0.742 (multiplicity 2)

Results
- Magnetic moment: 0.00 μB per formula unit
- E_tot: -2.62 eV per atom


Entry 2:
DFT (PBE) results for Rb3AgBr4 after structural relaxation.

Unit cell a=9.221 b=12.135 c=10.857 alpha=90.00 beta=90.00 gamma=90.00
Space group Pnma (No. 62)
Unique sites:
Rb 0.013 0.035 0.213 (multiplicity 8)
Rb 0.099 0.750 0.452 (multiplicity 4)
Ag 0.185 0.750 0.001 (multiplicity 4)
Br 0.046 0.250 0.846 (multiplicity 4)
Br 0.203 0.042 0.518 (multiplicity 8)
Br 0.223 0.750 0.743 (multiplicity 4)

Results
- Magnetic moment: 0.00 μB per formula unit
- E_tot: -2.93 eV per atom
- Energy relative to the lowest polymorph listed for this composition: 0.000 eV per atom
- DOS at the Fermi energy: 0.00 states/eV/f.u.


Entry 3:
DFT (PBE) results for Rb3AgBr6 after structural relaxation.

Unit cell a=15.477 b=19.667 c=5.540 alpha=90.00 beta=90.00 gamma=90.00
Space group Cmc2_1 (No. 36)
Unique sites:
Rb 0.000 0.135 0.000 (multiplicity 4)
Rb 0.192 0.372 0.804 (multiplicity 8)
Ag 0.000 0.298 0.502 (multiplicity 4)
Br 0.000 0.308 0.010 (multiplicity 4)
Br 0.000 0.429 0.504 (multiplicity 4)
Br 0.134 0.209 0.530 (multiplicity 8)
Br 0.166 0.003 0.059 (multiplicity 8)

Results
- Magnetic moment: 0.06 μB per formula unit
- E_tot: -2.66 eV per atom
- Energy relative to the lowest polymorph listed for this composition: 0.000 eV per atom
- DOS at the Fermi energy: 3.30 states/eV/f.u.


Entry 4:
DFT (PBE) results for Rb2Ag3Br6 after structural relaxation.

Unit cell a=8.8590 b=8.8590 c=5.3543 alpha=90.00 beta=90.00 gamma=120.00
Space group P-62m (No. 189)
Unique sites:
Rb 0.3333 0.6667 0.0000 (multiplicity 2)
Ag 0.0000 0.2077 0.5000 (multiplicity 3)
Br 0.0000 0.2572 0.0000 (multiplicity 3)
Br 0.0000 0.6441 0.5000 (multiplicity 3)

Results
- Magnetic moment: 0.00 μB per formula unit
- E_tot: -2.64 eV per atom
- DOS at the Fermi energy: 8.40 states/eV/f.u.


Entry 5:
DFT (PBE) results for Rb2Ag3Br5 after structural relaxation.

Unit cell a=9.406 b=18.804 c=7.783 alpha=90.00 beta=90.00 gamma=90.00
Space group Ibam (No. 72)
Unique sites:
Rb 0.198 0.174 0.000 (multiplicity 8)
Ag 0.000 0.000 0.250 (multiplicity 4)
Ag 0.082 0.399 0.000 (multiplicity 8)
Br 0.000 0.295 0.250 (multiplicity 8)
Br 0.000 0.500 0.250 (multiplicity 4)
Br 0.122 0.084 0.500 (multiplicity 8)

Results
- Magnetic moment: 0.00 μB per formula unit
- E_tot: -2.76 eV per atom
- Energy relative to the lowest polymorph listed for this composition: 0.021 eV per atom


Entry 6:
DFT (PBE) results for Rb3AgBr6 after structural relaxation.

Unit cell a=8.631 b=9.715 c=11.848 alpha=90.00 beta=125.55 gamma=90.00
Space group P2_1/c (No. 14)
Unique sites:
Rb 0.000 0.000 0.000 (multiplicity 2)
Rb 0.224 0.109 0.743 (multiplicity 4)
Ag 0.500 0.000 0.500 (multiplicity 2)
Br 0.184 0.119 0.417 (multiplicity 4)
Br 0.217 0.700 0.381 (multiplicity 4)
Br 0.458 0.076 0.278 (multiplicity 4)

Results
- Magnetic moment: 0.00 μB per formula unit
- E_tot: -2.62 eV per atom
- Energy relative to the lowest polymorph listed for this composition: 0.033 eV per atom
- DOS at the Fermi energy: 0.67 states/eV/f.u.


Entry 7:
DFT (PBE) results for Rb3AgBr4 after structural relaxation.

Unit cell a=11.399 b=9.346 c=6.959 alpha=90.00 beta=90.00 gamma=90.00
Space group Pmn2_1 (No. 31)
Unique sites:
Rb 0.000 0.131 0.000 (multiplicity 2)
Rb 0.233 0.331 0.503 (multiplicity 4)
Ag 0.000 0.809 0.431 (multiplicity 2)
Br 0.000 0.105 0.502 (multiplicity 2)
Br 0.000 0.782 0.036 (multiplicity 2)
Br 0.223 0.697 0.508 (multiplicity 4)

Results
- Magnetic moment: 0.00 μB per formula unit
- E_tot: -2.90 eV per atom
- Energy relative to the lowest polymorph listed for this composition: 0.029 eV per atom
- DOS at the Fermi energy: 0.00 states/eV/f.u.


Entry 8:
DFT (PBE) results for RbAg5Br8 after structural relaxation.

Unit cell a=12.148 b=12.148 c=12.148 alpha=90.00 beta=90.00 gamma=90.00
Space group F-43m (No. 216)
Unique sites:
Rb 0.000 0.000 0.000 (multiplicity 4)
Ag 0.123 0.123 0.623 (multiplicity 16)
Ag 0.250 0.250 0.250 (multiplicity 4)
Br 0.116 0.116 0.384 (multiplicity 16)
Br 0.146 0.146 0.854 (multiplicity 16)

Results
- Magnetic moment: 0.63 μB per formula unit
- E_tot: -2.45 eV per atom
- DOS at the Fermi energy: 28.26 states/eV/f.u.